No. 1
Below is a crystal of ZrMo2Ir relaxed with PBEsol, with properties calculated at the SCAN level.

* energy relative to the elements: -0.90 eV/f.u.
* energy relative to the lowest polymorph listed for this composition: 0.039 eV per atom
* space group: Immm, No. 71

abc: 3.333 4.310 5.281
angles: 114.08 108.40 90.00
Sites, in units of the cell vectors:
Mo 0.753 0.753 0.505
Mo 0.247 0.247 0.495
Ir 0.000 0.500 0.000
Zr 0.500 0.000 0.000

---

No. 2
Below is a crystal of MgAgSe2 relaxed with PBEsol, with properties calculated at the SCAN level.

* space group: R-3m, No. 166

abc: 3.900 3.900 6.560
angles: 72.71 72.71 60.00
Sites, in units of the cell vectors:
Mg 0.000 0.000 0.000
Se 0.749 0.749 0.753
Ag 0.500 0.500 0.500
Se 0.251 0.251 0.247

---

No. 3
Below is a crystal of Zn3Fe relaxed with PBEsol, with properties calculated at the SCAN level.

* energy relative to the elements: -0.03 eV/f.u.
* space group: Imm2, No. 44

abc: 2.591 4.598 4.994
angles: 117.41 105.04 90.00
Site moments in Bohr magnetons follow the coordinates.
Sites, in units of the cell vectors:
Zn 0.746 0.418 0.491  -0.04
Zn 0.254 0.927 0.509  -0.04
Zn 0.500 0.499 0.000  -0.07
Fe 0.000 0.990 0.000  2.52

---

No. 4
Below is a crystal of NaBi3Cl relaxed with PBEsol, with properties calculated at the SCAN level.

* space group: Pm-3m, No. 221

abc: 5.431 5.431 5.431
angles: 90.00 90.00 90.00
Sites, in units of the cell vectors:
Na 0.000 0.000 0.000
Bi 0.000 0.000 0.500
Cl 0.500 0.500 0.500
Bi 0.500 0.000 0.000
Bi 0.000 0.500 0.000

---

No. 5
Below is a crystal of Cu2SiAu relaxed with PBEsol, with properties calculated at the SCAN level.

* space group: Cm, No. 8

abc: 3.785 3.786 4.544
angles: 114.36 114.61 90.00
Sites, in units of the cell vectors:
Cu 0.750 0.250 0.500
Cu 0.000 0.002 0.000
Au 0.250 0.750 0.500
Si 0.500 0.498 0.000

---

No. 6
Below is a crystal of Sr2FePb relaxed with PBEsol, with properties calculated at the SCAN level.

* energy relative to the elements: 0.17 eV/f.u.
* space group: P4/mmm, No. 123

abc: 3.673 3.673 8.612
angles: 90.00 90.00 90.00
Site moments in Bohr magnetons follow the coordinates.
Sites, in units of the cell vectors:
Sr 0.000 0.000 0.227  -0.05
Pb 0.500 0.500 0.500  0.01
Fe 0.500 0.500 0.000  2.92
Sr 0.000 0.000 0.773  -0.05

---

No. 7
Below is a crystal of CaCrTc2 relaxed with PBEsol, with properties calculated at the SCAN level.

* energy relative to the elements: 2.86 eV/f.u.
* energy relative to the lowest polymorph listed for this composition: 0.062 eV per atom
* space group: Cmmm, No. 65

abc: 2.499 5.341 5.341
angles: 119.60 90.00 90.00
Site moments in Bohr magnetons follow the coordinates.
Sites, in units of the cell vectors:
Tc 0.000 0.000 0.500  -0.10
Tc 0.000 0.500 0.000  -0.10
Cr 0.500 0.500 0.500  3.43
Ca 0.500 0.000 0.000  0.03

---

No. 8
Below is a crystal of Y2Ni2Hg relaxed with PBEsol, with properties calculated at the SCAN level.

* energy relative to the elements: -1.78 eV/f.u.
* space group: I4/mmm, No. 139

abc: 5.177 5.247 5.177
angles: 60.44 90.00 119.56
Sites, in units of the cell vectors:
Hg 0.000 0.000 0.000
Y 0.250 0.500 0.250
Ni 0.648 0.296 0.352
Ni 0.352 0.704 0.648
Y 0.750 0.500 0.750

---

No. 9
Below is a crystal of OsSeIN2 relaxed with PBEsol, with properties calculated at the SCAN level.

* space group: P4/mmm, No. 123

abc: 3.836 3.836 5.963
angles: 90.00 90.00 90.00
Site moments in Bohr magnetons follow the coordinates.
Sites, in units of the cell vectors:
I 0.000 0.000 0.000  -0.02
Os 0.500 0.500 0.500  1.94
N 0.000 0.500 0.000  0.06
Se 0.000 0.000 0.500  0.01
N 0.500 0.000 0.000  0.06

---

No. 10
Below is a crystal of Ca2CoAg relaxed with PBEsol, with properties calculated at the SCAN level.

* energy relative to the elements: 0.37 eV/f.u.
* energy relative to the lowest polymorph listed for this composition: 0.000 eV per atom
* space group: P4/mmm, No. 123

abc: 3.371 3.371 7.335
angles: 90.00 90.00 90.00
Site moments in Bohr magnetons follow the coordinates.
Sites, in units of the cell vectors:
Ca 0.000 0.000 0.779  -0.11
Ca 0.000 0.000 0.221  -0.11
Ag 0.500 0.500 0.500  -0.01
Co 0.500 0.500 0.000  1.41

---

No. 11
Below is a crystal of Ho12Co7 relaxed with PBEsol, with properties calculated at the SCAN level.

* energy relative to the elements: -2.50 eV/f.u.
* space group: P2_1/c, No. 14

abc: 8.082 8.983 10.949
angles: 90.00 90.00 102.13
Sites, in units of the cell vectors:
Ho 0.301 0.145 0.497
Ho 0.423 0.176 0.801
Co 0.444 0.343 0.316
Co 0.944 0.843 0.184
Co 0.436 0.527 0.178
Ho 0.837 0.342 0.840
Co 0.406 0.901 0.401
Co 0.906 0.401 0.099
Co 0.094 0.599 0.901
Co 0.056 0.157 0.816
Ho 0.199 0.355 0.997
Ho 0.077 0.324 0.301
Ho 0.645 0.413 0.569
Ho 0.775 0.539 0.295
Ho 0.163 0.658 0.160
Ho 0.801 0.645 0.003
Ho 0.663 0.158 0.340
Ho 0.072 0.808 0.430
Co 0.594 0.099 0.599
Co 0.564 0.473 0.822
Ho 0.577 0.824 0.199
Co 0.500 0.000 0.000
Ho 0.928 0.192 0.570
Ho 0.275 0.039 0.205
Co 0.936 0.027 0.322
Ho 0.572 0.308 0.070
Ho 0.725 0.961 0.795
Ho 0.923 0.676 0.699
Ho 0.699 0.855 0.503
Ho 0.428 0.692 0.930
Co 0.000 0.500 0.500
Co 0.064 0.973 0.678
Co 0.556 0.657 0.684
Ho 0.337 0.842 0.660
Ho 0.855 0.087 0.069
Ho 0.145 0.913 0.931
Ho 0.225 0.461 0.705
Ho 0.355 0.587 0.431

---

No. 12
Below is a crystal of V2P2O7 relaxed with PBEsol, with properties calculated at the SCAN level.

* energy relative to the lowest polymorph listed for this composition: 0.000 eV per atom
* space group: P2_1/c, No. 14

abc: 4.421 5.320 10.171
angles: 90.00 90.00 96.63
Site moments in Bohr magnetons follow the coordinates.
Sites, in units of the cell vectors:
V 0.902 0.578 0.657  2.68
O 0.616 0.248 0.704  0.00
V 0.098 0.422 0.343  2.68
O 0.885 0.043 0.325  0.01
O 0.115 0.457 0.825  0.01
O 0.384 0.752 0.296  0.00
O 0.210 0.867 0.955  0.01
P 0.645 0.849 0.388  0.02
O 0.115 0.957 0.675  0.01
P 0.355 0.651 0.888  0.02
O 0.616 0.748 0.796  0.00
V 0.098 0.922 0.157  2.68
O 0.790 0.633 0.455  0.01
P 0.355 0.151 0.612  0.02
O 0.500 0.500 0.000  0.00
O 0.885 0.543 0.175  0.01
O 0.384 0.252 0.204  0.00
V 0.902 0.078 0.843  2.68
O 0.210 0.367 0.545  0.01
P 0.645 0.349 0.112  0.02
O 0.500 0.000 0.500  0.00
O 0.790 0.133 0.045  0.01

---

Number 1: final energy -172.47 eV/cell. Number 2: final energy -78.95 eV/cell. Number 3: final energy -58.71 eV/cell. Number 4: final energy -245.15 eV/cell. Number 5: final energy -109.64 eV/cell. Number 6: final energy -138.30 eV/cell. Number 7: final energy -95.30 eV/cell. Number 8: final energy -157.97 eV/cell. Number 9: final energy -134.42 eV/cell. Number 10: final energy -67.62 eV/cell. Number 11: final energy -1422.96 eV/cell. Number 12: final energy -253.46 eV/cell.